No. 1
! Tc2Ir2Ru | Alexandria | PBE | relaxed; values from VASP
! DOS at the Fermi energy, states/eV/f.u.: 6.35
! SG: I4/mmm (139)
! ΔH_f (0 K), eV/atom: 0.57
&SYSTEM
  ibrav = 0, nat = 5, ntyp = 3
/
ATOMIC_SPECIES
Ru 101.07 Ru.upf
Ir 192.22 Ir.upf
Tc 98.00 Tc.upf
ATOMIC_POSITIONS angstrom
Ru 0.0000 0.0000 0.0000
Ir 3.7316 1.8658 2.9346
Ir 1.8658 3.7316 2.9346
Tc 1.8658 1.8658 1.1430
Tc 3.7316 3.7316 4.7262
CELL_PARAMETERS angstrom
3.7316 0.0000 0.0000
0.0000 3.7316 0.0000
1.8658 1.8658 5.8692

***

No. 2
! MgPAu2S | Alexandria | PBE | relaxed; values from VASP
! DOS at the Fermi energy, states/eV/f.u.: 1.66
! SG: P4/mmm (123)
! Raw formation energy, eV/atom: 0.125
&SYSTEM
  ibrav = 0, nat = 5, ntyp = 4
/
ATOMIC_SPECIES
P 30.97 P.upf
S 32.06 S.upf
Au 196.97 Au.upf
Mg 24.30 Mg.upf
ATOMIC_POSITIONS angstrom
P 0.0000 0.0000 0.0000
S -1.3774 -2.0121 0.6589
Au -1.1165 1.2839 1.5864
Au -1.5987 0.5739 -1.5895
Mg -4.0926 -0.1544 0.6559
CELL_PARAMETERS angstrom
-3.1973 1.1477 -3.1790
-2.7549 -4.0242 1.3179
-2.2330 2.5677 3.1728

***

No. 3
! TaBeZn4 | Alexandria | PBE | relaxed; values from VASP
! DOS at the Fermi energy, states/eV/f.u.: 4.41
! SG: F-43m (216)
! ΔH_f (0 K), eV/atom: 0.40
&SYSTEM
  ibrav = 0, nat = 6, ntyp = 3
/
ATOMIC_SPECIES
Ta 180.95 Ta.upf
Be 9.01 Be.upf
Zn 65.41 Zn.upf
ATOMIC_POSITIONS angstrom
Ta 0.0000 0.0000 0.0000
Be 5.2953 5.2953 5.2953
Zn 2.6443 4.4161 4.4161
Zn 4.4161 4.4161 2.6443
Zn 4.4161 2.6443 4.4161
Zn 2.6443 2.6443 2.6443
CELL_PARAMETERS angstrom
0.0000 3.5302 3.5302
3.5302 0.0000 3.5302
3.5302 3.5302 0.0000

***

No. 4
! Ca2IrC2 | Alexandria | PBE | relaxed; values from VASP
! DOS at the Fermi energy, states/eV/f.u.: 2.49
! SG: C2/m (12)
! ΔH_f (0 K), eV/atom: 0.04
&SYSTEM
  ibrav = 0, nat = 10, ntyp = 3
/
ATOMIC_SPECIES
Ca 40.08 Ca.upf
Ir 192.22 Ir.upf
C 12.01 C.upf
ATOMIC_POSITIONS angstrom
Ca 1.7730 1.6056 0.8381
Ca 3.5459 1.9323 4.2892
Ca 5.3189 5.6468 3.8979
Ca 3.5459 5.3201 0.4469
Ir 3.5459 -0.4660 2.5395
Ir 3.5459 7.7184 2.1966
C 1.7730 -1.2053 6.4873
C 1.7730 0.5323 3.1234
C 5.3189 8.4577 -1.7512
C 5.3189 6.7201 1.6127
CELL_PARAMETERS angstrom
3.5459 0.0000 0.0000
1.7730 8.7051 -2.3553
1.7730 -1.4527 7.0914

***

No. 5
! ZrSi2PbO8 | Alexandria | PBE | relaxed; values from VASP
! DOS at the Fermi energy, states/eV/f.u.: 8.00
! SG: P-3m1 (164)
! Raw formation energy, eV/atom: -2.195
&SYSTEM
  ibrav = 0, nat = 12, ntyp = 4
/
ATOMIC_SPECIES
Zr 91.22 Zr.upf
Si 28.09 Si.upf
Pb 207.20 Pb.upf
O 16.00 O.upf
ATOMIC_POSITIONS angstrom
Zr -3.2367 -1.2550 0.8074
Si -1.7716 -1.9446 -2.4728
Si -3.8623 -4.8591 0.7785
Pb 0.0000 0.0000 0.0000
O -5.3675 -5.4427 1.1540
O -2.1330 -1.4710 -0.9568
O -2.8338 -1.3267 -3.5419
O -0.2663 -1.3610 -2.8483
O -2.8001 -5.4770 1.8476
O -3.5009 -5.3327 -0.7375
O -3.9105 -3.2343 0.8823
O -1.7234 -3.5694 -2.5766
CELL_PARAMETERS angstrom
-1.4317 0.2909 -5.2873
2.2712 -4.5846 1.9783
-6.4733 -2.5100 1.6148

***

No. 6
! Pm2Er2TmSc | Alexandria | PBE | relaxed; values from VASP
! DOS at the Fermi energy, states/eV/f.u.: 10.83
! SG: Pmc2_1 (26)
! ΔH_f (0 K), eV/atom: 0.03
&SYSTEM
  ibrav = 0, nat = 12, ntyp = 4
/
ATOMIC_SPECIES
Pm 145.00 Pm.upf
Er 167.26 Er.upf
Tm 168.93 Tm.upf
Sc 44.96 Sc.upf
ATOMIC_POSITIONS angstrom
Pm -0.9865 -2.9345 0.4234
Pm 2.4792 -2.3580 0.6979
Pm 5.3259 -8.2450 5.1291
Pm 6.7372 -6.2423 2.5960
Er 6.3138 -5.0150 5.9600
Er 0.9884 -4.2921 3.1789
Er 2.8872 -3.5645 -2.6441
Er 3.3104 -6.8324 2.4311
Tm 2.9106 -5.6495 5.7088
Tm 1.4579 -5.5694 -0.1977
Sc 4.8313 -4.9132 0.0166
Sc 4.3670 -3.6626 3.3031
CELL_PARAMETERS angstrom
-3.9300 -3.8613 0.9142
2.8148 -3.8107 -3.9954
5.8778 -4.0804 8.0328

***

No. 7
! Li2TlHg4Pb | Alexandria | PBE | relaxed; values from VASP
! DOS at the Fermi energy, states/eV/f.u.: 3.88
! SG: R-3m (166)
! ΔH_f (0 K), eV/atom: -0.13
&SYSTEM
  ibrav = 0, nat = 8, ntyp = 4
/
ATOMIC_SPECIES
Li 6.94 Li.upf
Tl 204.38 Tl.upf
Hg 200.59 Hg.upf
Pb 207.20 Pb.upf
ATOMIC_POSITIONS angstrom
Li 7.8824 4.5509 6.2241
Li 2.6275 1.5170 2.0079
Tl 5.2549 3.0339 4.1160
Hg 5.2549 3.0339 7.2316
Hg 7.8824 4.5509 3.1785
Hg 2.6275 1.5170 5.0536
Hg 5.2549 3.0339 1.0005
Pb 0.0000 0.0000 0.0000
CELL_PARAMETERS angstrom
5.2549 0.0000 0.0000
2.6275 4.5509 0.0000
2.6275 1.5170 8.2320

***

No. 8
! Ge2Sb2O7 | Alexandria | PBE | relaxed; values from VASP
! DOS at the Fermi energy, states/eV/f.u.: 0.00
! SG: C2/m (12)
! Raw formation energy, eV/atom: -1.415
&SYSTEM
  ibrav = 0, nat = 11, ntyp = 3
/
ATOMIC_SPECIES
Ge 72.64 Ge.upf
Sb 121.76 Sb.upf
O 16.00 O.upf
ATOMIC_POSITIONS angstrom
Ge -4.7429 -2.8741 0.1270
Ge -2.6945 2.1659 3.1229
Sb -3.0703 -1.3682 2.8877
Sb -4.3670 0.6600 0.3622
O -4.1762 -2.9488 1.7905
O -2.1773 0.5453 3.5704
O -3.2611 2.2406 1.4594
O -5.2600 -1.2535 -0.3204
O -2.6791 -0.6363 0.8646
O 0.0000 0.0000 0.0000
O -4.7582 -0.0719 2.3854
CELL_PARAMETERS angstrom
-1.3714 3.3159 3.3672
-4.7011 0.5973 -3.3076
-1.3648 -4.6213 3.1903

***

No. 9
! Sr2TlAgO4 | Alexandria | PBE | relaxed; values from VASP
! SG: P2/m (10)
! Raw formation energy, eV/atom: -1.555
&SYSTEM
  ibrav = 0, nat = 8, ntyp = 4
/
ATOMIC_SPECIES
Sr 87.62 Sr.upf
Tl 204.38 Tl.upf
Ag 107.87 Ag.upf
O 16.00 O.upf
ATOMIC_POSITIONS angstrom
Sr 0.3731 -1.9156 2.8850
Sr -0.8560 -3.7508 -0.0315
Tl -3.3788 -1.3716 0.2943
Ag 0.0000 0.0000 0.0000
O -1.7743 -1.9398 1.4507
O -2.0875 -5.0981 1.6971
O 1.1513 -3.9115 1.3357
O -2.8633 -3.5902 -1.3987
CELL_PARAMETERS angstrom
-2.1498 0.4637 3.2108
-4.6079 -3.2068 -2.6221
2.8959 -4.2948 2.5592

***

No. 10
! CdSn2Ir2 | Alexandria | PBE | relaxed; values from VASP
! DOS at the Fermi energy, states/eV/f.u.: 4.03
! SG: P4/mbm (127)
! ΔH_f (0 K), eV/atom: 0.07
&SYSTEM
  ibrav = 0, nat = 10, ntyp = 3
/
ATOMIC_SPECIES
Ir 192.22 Ir.upf
Sn 118.71 Sn.upf
Cd 112.41 Cd.upf
ATOMIC_POSITIONS angstrom
Ir 1.1576 5.1757 1.4868
Ir 5.1757 6.8784 1.4868
Ir 6.8784 2.8604 1.4868
Ir 2.8604 1.1576 1.4868
Sn 2.8157 6.8337 0.0000
Sn 6.8337 5.2204 0.0000
Sn 5.2204 1.2023 0.0000
Sn 1.2023 2.8157 0.0000
Cd 0.0000 0.0000 0.0000
Cd 4.0180 4.0180 0.0000
CELL_PARAMETERS angstrom
8.0361 0.0000 0.0000
0.0000 8.0361 0.0000
0.0000 0.0000 2.9736

***

No. 11
! KCuBF6 | Alexandria | PBE | relaxed; values from VASP
! SG: P1 (1)
! Raw formation energy, eV/atom: -2.394
&SYSTEM
  ibrav = 0, nat = 9, ntyp = 4
/
ATOMIC_SPECIES
K 39.10 K.upf
Cu 63.55 Cu.upf
B 10.81 B.upf
F 19.00 F.upf
ATOMIC_POSITIONS angstrom
K -4.6771 0.7127 8.0775
Cu -1.5800 2.6085 6.4453
B -0.1312 2.3931 3.9514
F -3.1189 2.1289 5.6173
F -0.0532 3.0835 7.2977
F -0.5158 3.6089 4.5813
F 1.2818 2.3135 3.8620
F -0.5802 1.3154 4.7680
F -0.7569 2.3378 2.6817
CELL_PARAMETERS angstrom
-3.7871 2.2560 3.1012
-0.9580 -1.5345 5.0912
3.3984 4.2240 1.5803

***

No. 12
! CaSm5Y12 | Alexandria | PBE | relaxed; values from VASP
! DOS at the Fermi energy, states/eV/f.u.: 25.13
! SG: C2/m (12)
! ΔH_f (0 K), eV/atom: 0.04
&SYSTEM
  ibrav = 0, nat = 18, ntyp = 3
/
ATOMIC_SPECIES
Ca 40.08 Ca.upf
Sm 150.36 Sm.upf
Y 88.91 Y.upf
ATOMIC_POSITIONS angstrom
Ca 0.0000 0.0000 0.0000
Sm 5.4037 -0.6664 3.0502
Sm 5.4018 5.5012 2.2385
Sm 10.8064 2.4590 2.7356
Sm 10.8081 6.1885 -0.7298
Sm 5.4001 1.7717 5.7039
Y 8.9570 -0.6648 3.0528
Y 7.2511 8.6249 1.9214
Y 7.1621 0.0034 0.0045
Y 9.0460 7.9567 4.9697
Y 7.2221 6.1615 -0.7441
Y 3.5838 6.1600 -0.7461
Y 12.6243 1.8001 5.7202
Y 8.9861 1.7986 5.7182
Y 7.2095 2.4283 2.6698
Y 12.6145 5.5340 2.3063
Y 3.5937 2.4262 2.6679
Y 8.9987 5.5319 2.3043
CELL_PARAMETERS angstrom
10.8098 0.0050 0.0059
5.4008 9.2930 -1.1263
-0.0026 -1.3380 6.0945

***

No. 13
! FeHg2Ir | Alexandria | PBE | relaxed; values from VASP
! DOS at the Fermi energy, states/eV/f.u.: 3.21
! SG: P4/mmm (123)
! ΔH_f (0 K), eV/atom: 0.55
&SYSTEM
  ibrav = 0, nat = 4, ntyp = 3
/
ATOMIC_SPECIES
Fe 55.84 Fe.upf
Hg 200.59 Hg.upf
Ir 192.22 Ir.upf
ATOMIC_POSITIONS angstrom
Fe 1.2275 -4.0984 4.4114
Hg 3.0054 -3.0539 6.3549
Hg 1.5212 -1.5458 3.2166
Ir -0.2814 -2.5652 1.2209
CELL_PARAMETERS angstrom
-2.6763 -1.0865 0.7436
0.6046 -2.5107 -1.4924
3.0178 -3.0664 6.3810

***

No. 14
! TaCdSe3 | Alexandria | PBE | relaxed; values from VASP
! DOS at the Fermi energy, states/eV/f.u.: 4.81
! SG: Pm-3m (221)
! Raw formation energy, eV/atom: -0.174
&SYSTEM
  ibrav = 0, nat = 5, ntyp = 3
/
ATOMIC_SPECIES
Cd 112.41 Cd.upf
Se 78.96 Se.upf
Ta 180.95 Ta.upf
ATOMIC_POSITIONS angstrom
Cd 2.8549 -0.6866 3.2606
Se 1.4438 -2.0642 0.2695
Se 1.9974 1.4660 0.5281
Se -0.5863 -0.0885 2.4630
Ta 0.0000 0.0000 0.0000
CELL_PARAMETERS angstrom
-1.1725 -0.1771 4.9260
2.8876 -4.1283 0.5389
3.9948 2.9321 1.0563

***

No. 15
! SrTc2Rh | Alexandria | PBE | relaxed; values from VASP
! DOS at the Fermi energy, states/eV/f.u.: 7.42
! SG: I-42d (122)
! ΔH_f (0 K), eV/atom: 0.93
&SYSTEM
  ibrav = 0, nat = 8, ntyp = 3
/
ATOMIC_SPECIES
Sr 87.62 Sr.upf
Rh 102.91 Rh.upf
Tc 98.00 Tc.upf
ATOMIC_POSITIONS angstrom
Sr -1.3496 0.0322 5.3168
Sr -1.0030 -2.8190 8.2518
Rh 0.0000 0.0000 0.0000
Rh -0.4463 2.6371 8.3601
Tc -0.4680 3.0135 5.8554
Tc -0.9314 -3.0883 5.1089
Tc 0.0373 0.1585 8.1650
Tc -1.5365 -0.4474 14.0945
CELL_PARAMETERS angstrom
-0.7929 5.4883 5.4251
-1.9063 -5.4240 5.2085
1.2499 -0.2462 5.9783

***

No. 16
! MgNp2Se4 | Alexandria | PBE | relaxed; values from VASP
! DOS at the Fermi energy, states/eV/f.u.: 20.76
! SG: C2/m (12)
! Raw formation energy, eV/atom: -1.111
&SYSTEM
  ibrav = 0, nat = 7, ntyp = 3
/
ATOMIC_SPECIES
Mg 24.30 Mg.upf
Np 237.00 Np.upf
Se 78.96 Se.upf
ATOMIC_POSITIONS angstrom
Mg 0.0000 0.0000 0.0000
Np 5.0228 -5.0643 5.3538
Np 3.3314 -3.2825 2.0716
Se 2.4111 -4.0031 4.6661
Se 5.9431 -4.3436 2.7593
Se 7.5233 -5.7591 6.6531
Se 0.8309 -2.5877 0.7723
CELL_PARAMETERS angstrom
-1.7651 -3.2698 1.6537
5.4781 -5.3525 0.2704
4.6412 0.2755 5.5013

***

No. 17
! AsRuW2 | Alexandria | PBE | relaxed; values from VASP
! DOS at the Fermi energy, states/eV/f.u.: 3.13
! SG: Pm (6)
! ΔH_f (0 K), eV/atom: 0.18
&SYSTEM
  ibrav = 0, nat = 4, ntyp = 3
/
ATOMIC_SPECIES
Ru 101.07 Ru.upf
As 74.92 As.upf
W 183.84 W.upf
ATOMIC_POSITIONS angstrom
Ru -3.6922 2.9331 1.6938
As -2.1028 1.3180 2.6023
W -3.3713 3.0452 4.5029
W -2.3208 1.3228 -0.2696
CELL_PARAMETERS angstrom
-2.9141 1.0183 -2.8705
-2.0184 -1.1073 1.6562
-1.4109 4.1476 2.9037

***

No. 18
! RbZr2Ir | Alexandria | PBE | relaxed; values from VASP
! DOS at the Fermi energy, states/eV/f.u.: 3.20
! SG: Fm-3m (225)
! ΔH_f (0 K), eV/atom: 0.59
&SYSTEM
  ibrav = 0, nat = 4, ntyp = 3
/
ATOMIC_SPECIES
Ir 192.22 Ir.upf
Rb 85.47 Rb.upf
Zr 91.22 Zr.upf
ATOMIC_POSITIONS angstrom
Ir 3.4992 3.4992 3.4992
Rb 0.0000 0.0000 0.0000
Zr 1.7496 1.7496 1.7496
Zr 5.2489 5.2489 5.2489
CELL_PARAMETERS angstrom
0.0000 3.4992 3.4992
3.4992 0.0000 3.4992
3.4992 3.4992 0.0000

***

No. 19
! CeMg | Alexandria | PBE | relaxed; values from VASP
! DOS at the Fermi energy, states/eV/f.u.: 3.83
! SG: P-6m2 (187)
! ΔH_f (0 K), eV/atom: 0.04
&SYSTEM
  ibrav = 0, nat = 6, ntyp = 2
/
ATOMIC_SPECIES
Mg 24.30 Mg.upf
Ce 140.12 Ce.upf
ATOMIC_POSITIONS angstrom
Mg 1.5844 0.9147 11.1461
Mg 0.0000 0.0000 8.5138
Mg 1.5844 0.9147 5.8816
Ce 1.5844 0.9147 0.0000
Ce 0.0000 0.0000 14.0611
Ce 0.0000 0.0000 2.9666
CELL_PARAMETERS angstrom
3.1687 0.0000 0.0000
-1.5844 2.7442 0.0000
0.0000 0.0000 17.0276

***

No. 20
! Cs2SrAg2I7 | Alexandria | PBE | relaxed; values from VASP
! DOS at the Fermi energy, states/eV/f.u.: 4.98
! SG: I4/mmm (139)
! Raw formation energy, eV/atom: -0.935
&SYSTEM
  ibrav = 0, nat = 12, ntyp = 4
/
ATOMIC_SPECIES
Cs 132.91 Cs.upf
Sr 87.62 Sr.upf
Ag 107.87 Ag.upf
I 126.90 I.upf
ATOMIC_POSITIONS angstrom
Cs -5.9888 -5.9713 5.0265
Cs -3.3517 -2.9972 9.5866
Sr 0.0000 0.0000 0.0000
Ag -6.3322 -5.9843 11.7887
Ag -3.0083 -2.9842 2.8244
I -2.8603 -2.9816 -0.1488
I -3.1546 -2.9903 5.6952
I -6.1858 -5.9781 8.9179
I -5.8983 -3.0415 2.0886
I -2.9192 -5.9067 2.2344
I -6.4213 -3.0618 12.3787
I -3.4422 -5.9270 12.5245
CELL_PARAMETERS angstrom
-5.8385 -0.1173 -0.2946
0.1179 -5.8459 -0.0031
-3.6199 -3.0052 14.9108

***

Across the entries above, magnetization takes the values 0.321, 0.000, 0.186, 0.000, 0.165, 0.000, 0.000, 0.000, 0.000, 0.000, 0.112, 0.000, 0.678, 0.000, 0.000, 1.143, 0.000, 0.000, 0.000, 0.000 μB per atom, respectively.